{"formula": "GaIrOs", "functional": "GGA-PBE", "state": "relaxed", "lattice_angstrom": [[0.0000, 2.9484, 2.9484], [2.9484, 0.0000, 2.9484], [2.9484, 2.9484, 0.0000]], "species": ["Ga", "Ir", "Os"], "frac_coords": [[0.0000, 0.0000, 0.0000], [0.2500, 0.2500, 0.2500], [0.5000, 0.5000, 0.5000]], "density_g_cm3": 14.6, "total_magnetization_mub_per_cell": 0.01, "relative_energy_mev_per_atom": 0}

{"formula": "Pa2Ga8Ir", "functional": "GGA-PBE", "state": "relaxed", "lattice_angstrom": [[4.3433, 0.0000, 0.0000], [0.0000, 4.3433, 0.0000], [0.0000, 0.0000, 11.0945]], "species": ["Pa", "Pa", "Ga", "Ga", "Ga", "Ga", "Ga", "Ga", "Ga", "Ga", "Ir"], "frac_coords": [[0.0000, 0.0000, 0.1925], [0.0000, 0.0000, 0.8075], [0.0000, 0.5000, 0.0000], [0.0000, 0.5000, 0.3770], [0.0000, 0.5000, 0.6230], [0.5000, 0.0000, 0.0000], [0.5000, 0.0000, 0.3770], [0.5000, 0.0000, 0.6230], [0.5000, 0.5000, 0.1917], [0.5000, 0.5000, 0.8083], [0.0000, 0.0000, 0.5000]], "total_energy_ev_per_cell": -57.2, "density_g_cm3": 9.6, "total_magnetization_mub_per_cell": 0.05}

{"formula": "PaGaIr", "functional": "GGA-PBE", "state": "relaxed", "lattice_angstrom": [[0.0000, 3.2765, 3.2765], [3.2765, 0.0000, 3.2765], [3.2765, 3.2765, 0.0000]], "species": ["Pa", "Ga", "Ir"], "frac_coords": [[0.0000, 0.0000, 0.0000], [0.7500, 0.7500, 0.7500], [0.2500, 0.2500, 0.2500]], "total_energy_ev_per_cell": -21.1, "density_g_cm3": 11.6, "total_magnetization_mub_per_cell": 0.01}

{"formula": "PaGaIr", "functional": "GGA-PBE", "state": "relaxed", "lattice_angstrom": [[0.0000, 3.2180, 3.2180], [3.2180, 0.0000, 3.2180], [3.2180, 3.2180, 0.0000]], "species": ["Pa", "Ga", "Ir"], "frac_coords": [[0.0000, 0.0000, 0.0000], [0.5000, 0.5000, 0.5000], [0.7500, 0.7500, 0.7500]], "total_energy_ev_per_cell": -23.1, "density_g_cm3": 12.3, "total_magnetization_mub_per_cell": 0.15}

{"formula": "SrGaIr2Pb", "functional": "GGA-PBE", "state": "relaxed", "lattice_angstrom": [[4.4893, 0.0000, 0.0000], [0.0000, 4.4893, 0.0000], [0.0000, 0.0000, 10.8624]], "species": ["Sr", "Sr", "Ga", "Ga", "Ir", "Ir", "Ir", "Ir", "Pb", "Pb"], "frac_coords": [[0.2500, 0.2500, 0.2420], [0.7500, 0.7500, 0.7580], [0.2500, 0.7500, 0.0000], [0.7500, 0.2500, 0.0000], [0.2500, 0.2500, 0.8931], [0.2500, 0.7500, 0.5000], [0.7500, 0.2500, 0.5000], [0.7500, 0.7500, 0.1069], [0.2500, 0.2500, 0.6410], [0.7500, 0.7500, 0.3590]], "total_energy_ev_per_cell": -55.0, "density_g_cm3": 11.4, "total_magnetization_mub_per_cell": 0.02}

{"formula": "PrGa2IrPd", "functional": "GGA-PBE", "state": "relaxed", "lattice_angstrom": [[4.3255, 0.0000, 0.0000], [0.0000, 4.3255, 0.0000], [0.0000, 0.0000, 10.3567]], "species": ["Pr", "Pr", "Ga", "Ga", "Ga", "Ga", "Ir", "Ir", "Pd", "Pd"], "frac_coords": [[0.2500, 0.2500, 0.2449], [0.7500, 0.7500, 0.7551], [0.2500, 0.2500, 0.6281], [0.2500, 0.7500, 0.0000], [0.7500, 0.2500, 0.0000], [0.7500, 0.7500, 0.3719], [0.2500, 0.2500, 0.8676], [0.7500, 0.7500, 0.1324], [0.2500, 0.7500, 0.5000], [0.7500, 0.2500, 0.5000]], "total_energy_ev_per_cell": -57.3, "density_g_cm3": 9.9, "total_magnetization_mub_per_cell": 0.02}